[1]
CuSbMoAu: optimized geometry, PBE-GGA.

a = 4.6004 Å, b = 4.6004 Å, c = 4.6004 Å
α = 60.00°, β = 60.00°, γ = 60.00°
Last column: nearest neighbours and their distance in Å.
Atoms (fractional coordinates):
Au 0.5000 0.5000 0.5000  4 Mo 2.82, 4 Cu 2.82
Cu 0.7500 0.7500 0.7500  4 Au 2.82, 4 Sb 2.82
Mo 0.2500 0.2500 0.2500  4 Au 2.82, 4 Sb 2.82
Sb 0.0000 0.0000 0.0000  4 Mo 2.82, 4 Cu 2.82

Energy above the lowest structure with this stoichiometry: 0 meV per atom
E_tot: -0.3788 Ry per atom
SG: No. 216

---

[2]
UGaFe: optimized geometry, PBE-GGA.

a = 6.2172 Å, b = 6.2172 Å, c = 4.4032 Å
α = 90.00°, β = 90.00°, γ = 120.00°
Last column: nearest neighbours and their distance in Å.
Atoms (fractional coordinates):
Fe 0.2223 0.0000 0.0000  2 Fe 2.39, 4 Ga 2.49-2.60
Fe 0.0000 0.2223 0.0000  2 Fe 2.39, 4 Ga 2.49-2.60
Fe 0.7777 0.7777 0.0000  2 Fe 2.39, 4 Ga 2.49-2.60
Ga 0.6667 0.3333 0.0000  3 Fe 2.49
Ga 0.3333 0.6667 0.0000  3 Fe 2.49
Ga 0.0000 0.0000 0.5000  6 Fe 2.60
U 0.5104 0.0000 0.5000  2 Fe 2.84, 6 Ga 2.84-3.17, 4 U 3.11
U 0.4896 0.4896 0.5000  2 Fe 2.84, 6 Ga 2.84-3.17, 4 U 3.11
U 0.0000 0.5104 0.5000  2 Fe 2.84, 6 Ga 2.84-3.17, 4 U 3.11

E_tot: -0.5523 Ry per atom
SG: No. 189

---

[3]
NdSnH: optimized geometry, PBE-GGA.

a = 6.5955 Å, b = 6.5955 Å, c = 4.4178 Å
α = 90.00°, β = 90.00°, γ = 38.33°
Last column: nearest neighbours and their distance in Å.
Atoms (fractional coordinates):
H 0.2454 0.2454 0.2501  4 Nd 2.43-2.52
H 0.7546 0.7546 0.7499  4 Nd 2.43-2.52
Nd 0.6566 0.6566 0.2500  4 H 2.43-2.52
Nd 0.3434 0.3434 0.7500  4 H 2.43-2.52
Sn 0.9277 0.9277 0.2500  2 Sn 2.85, 4 H 3.09-3.14
Sn 0.0723 0.0723 0.7500  2 Sn 2.85, 4 H 3.09-3.14

E_tot: -0.3455 Ry per atom
SG: No. 63

---

[4]
TmTaPt: optimized geometry, PBE-GGA.

a = 4.5801 Å, b = 4.5801 Å, c = 4.5801 Å
α = 60.00°, β = 60.00°, γ = 60.00°
Last column: nearest neighbours and their distance in Å.
Atoms (fractional coordinates):
Pt 0.0000 0.0000 0.0000  4 Ta 2.80, 4 Tm 2.80
Ta 0.2500 0.2500 0.2500  4 Pt 2.80
Tm 0.7500 0.7500 0.7500  4 Pt 2.80

ΔE_f: -0.65 eV per formula unit
Energy above the lowest structure with this stoichiometry: 0 meV per atom
E_tot: -0.5643 Ry per atom
SG: No. 216

---

[5]
Sc4NiBiN2: optimized geometry, PBE-GGA.

a = 3.3099 Å, b = 3.3099 Å, c = 13.5419 Å
α = 90.00°, β = 90.00°, γ = 120.00°
Last column: nearest neighbours and their distance in Å.
Atoms (fractional coordinates):
Bi 0.0000 0.0000 0.0000  6 Sc 3.14, 6 Bi 3.31
N 0.3333 0.6667 0.2607  6 Sc 2.17-2.37
N 0.3333 0.6667 0.7393  6 Sc 2.17-2.37
Ni 0.6667 0.3333 0.5000  6 Sc 2.65
Sc 0.6667 0.3333 0.1843  3 N 2.17
Sc 0.0000 0.0000 0.3643  3 N 2.37, 3 Ni 2.65
Sc 0.0000 0.0000 0.6357  3 N 2.37, 3 Ni 2.65
Sc 0.6667 0.3333 0.8157  3 N 2.17

E_tot: -0.5522 Ry per atom
SG: No. 187

---

[6]
SmGeTe2AuS: optimized geometry, PBE-GGA.

a = 7.6826 Å, b = 7.6826 Å, c = 10.2595 Å
α = 90.00°, β = 90.00°, γ = 148.42°
Last column: nearest neighbours and their distance in Å.
Atoms (fractional coordinates):
Au 0.0170 0.9830 0.2500  2 S 2.54, 2 Te 2.84
Au 0.9830 0.0170 0.7500  2 S 2.54, 2 Te 2.84
Ge 0.7320 0.2680 0.2500  4 Te 3.04
Ge 0.2680 0.7320 0.7500  4 Te 3.04
S 0.4195 0.5805 0.2500  2 Au 2.54, 2 Sm 2.83
S 0.5805 0.4195 0.7500  2 Au 2.54, 2 Sm 2.83
Sm 0.5000 0.5000 0.0000  2 S 2.83
Sm 0.5000 0.5000 0.5000  2 S 2.83
Te 0.1583 0.8417 0.0624  1 Au 2.84, 2 Ge 3.04
Te 0.1583 0.8417 0.4376  1 Au 2.84, 2 Ge 3.04
Te 0.8417 0.1583 0.5624  1 Au 2.84, 2 Ge 3.04
Te 0.8417 0.1583 0.9376  1 Au 2.84, 2 Ge 3.04

E_tot: -0.3256 Ry per atom
SG: No. 63

---

[7]
NdSiMo: optimized geometry, PBE-GGA.

a = 4.5708 Å, b = 4.5708 Å, c = 4.5708 Å
α = 60.00°, β = 60.00°, γ = 60.00°
Last column: nearest neighbours and their distance in Å.
Atoms (fractional coordinates):
Mo 0.2500 0.2500 0.2500  4 Si 2.80
Nd 0.7500 0.7500 0.7500  4 Si 2.80
Si 0.0000 0.0000 0.0000  4 Nd 2.80, 4 Mo 2.80

E_tot: -0.4987 Ry per atom
SG: No. 216

---

[8]
ErCoIr: optimized geometry, PBE-GGA.

a = 5.1693 Å, b = 5.1693 Å, c = 5.1693 Å
α = 121.93°, β = 117.31°, γ = 90.71°
Last column: nearest neighbours and their distance in Å.
Atoms (fractional coordinates):
Co 0.0000 0.5000 0.0000  2 Co 2.51, 4 Ir 2.58
Co 0.0000 0.0000 0.5000  2 Co 2.51, 4 Ir 2.58
Er 0.3709 0.1209 0.2500  6 Co 2.97-3.11, 6 Ir 2.98-3.06, 4 Er 3.13-3.21
Er 0.6291 0.8791 0.7500  6 Co 2.97-3.11, 6 Ir 2.98-3.06, 4 Er 3.13-3.21
Ir 0.5000 0.5000 0.0000  4 Co 2.58, 2 Ir 2.69
Ir 0.0000 0.5000 0.5000  4 Co 2.58, 2 Ir 2.69

ΔE_f: -1.78 eV per formula unit
E_tot: -0.5465 Ry per atom
SG: No. 74